The following is a SCAN calculation of a crystal of K3HPtS2Cl2O6 relaxed with PBEsol, from Alexandria.

extended XYZ file:
```
30
Lattice="7.521 -5.236 0.000 7.521 5.236 0.000 0.000 0.000 7.031" Properties=species:S:1:pos:R:3 pbc="T T T"
K 7.521 3.956 3.516
K 4.230 1.500 4.802
K 4.230 -1.500 1.287
K 10.811 1.500 4.802
K 10.811 -1.500 1.287
K 7.521 -3.956 0.000
H 7.521 0.142 1.799
H 7.521 -0.142 5.315
Pt 7.521 2.657 0.236
Pt 7.521 -2.657 3.752
S 5.872 1.591 1.304
S 9.169 1.591 1.304
S 5.872 -1.591 4.819
S 9.169 -1.591 4.819
Cl 5.876 3.975 6.181
Cl 9.166 3.975 6.181
Cl 5.876 -3.975 2.665
Cl 9.166 -3.975 2.665
O 5.549 2.395 2.514
O 4.659 1.380 0.491
O 6.324 0.193 1.756
O 9.492 2.395 2.514
O 6.324 -0.193 5.272
O 4.659 -1.380 4.007
O 10.382 1.380 0.491
O 8.718 0.193 1.756
O 5.549 -2.395 6.030
O 8.718 -0.193 5.272
O 10.382 -1.380 4.007
O 9.492 -2.395 6.030
```

* magnetization: 0.00 μB/cell
* DOS(E_F): 0.0 states/eV per cell
* crystal system: orthorhombic
* total energy: -13.07 eV/atom